12
Lattice="3.592 0.000 0.000 -1.796 3.111 0.000 0.000 0.000 33.468" Properties=species:S:1:pos:R:3 comment="PBE LaGaPb2, optimized geometry" energy_ev_per_atom=-3.74 magmom_total_mub_per_fu=0.00 formation_enthalpy_0k_kj_per_mol_atoms=9 volume_a3_per_atom=31.160 pbc="T T T"
La 0.000 0.000 0.000
La 0.000 2.074 22.312
La 1.796 1.037 11.156
Ga 0.000 0.000 16.734
Ga 0.000 2.074 5.578
Ga 1.796 1.037 27.890
Pb 0.000 0.000 3.302
Pb 0.000 0.000 30.166
Pb 0.000 2.074 19.010
Pb 0.000 2.074 25.614
Pb 1.796 1.037 7.854
Pb 1.796 1.037 14.458